Entry 1:
# Mg2Al2GePt5 (PBE, relaxed)
data_Mg2Al2GePt5
_chemical_formula_sum 'Mg4 Al4 Ge2 Pt10'
_space_group_name_H-M_alt 'P 4/m b m'
_space_group_IT_number 127
_space_group_name_Hall '-P 4 2ab'
_cell_length_a 9.463
_cell_length_b 9.463
_cell_length_c 3.657
_cell_angle_alpha 90.00
_cell_angle_beta 90.00
_cell_angle_gamma 90.00
loop_
_atom_site_label
_atom_site_type_symbol
_atom_site_fract_x
_atom_site_fract_y
_atom_site_fract_z
Mg1 Mg 0.172 0.328 0.000
Al1 Al 0.126 0.626 0.000
Ge1 Ge 0.000 0.000 0.000
Pt1 Pt 0.000 0.500 0.500
Pt2 Pt 0.078 0.802 0.500
# DFT formation energy, eV per atom: -0.70
# Crystal system: tetragonal
# M_tot, μB per cell: 0.00

=====

Entry 2:
# Mg2AlGe2Pt5 (PBE, relaxed)
data_Mg2AlGe2Pt5
_chemical_formula_sum 'Mg4 Al2 Ge4 Pt10'
_space_group_name_H-M_alt 'P 4/m b m'
_space_group_IT_number 127
_space_group_name_Hall '-P 4 2ab'
_cell_length_a 9.998
_cell_length_b 9.998
_cell_length_c 3.316
_cell_angle_alpha 90.00
_cell_angle_beta 90.00
_cell_angle_gamma 90.00
loop_
_atom_site_label
_atom_site_type_symbol
_atom_site_fract_x
_atom_site_fract_y
_atom_site_fract_z
Mg1 Mg 0.168 0.332 0.000
Al1 Al 0.000 0.000 0.000
Ge1 Ge 0.140 0.640 0.000
Pt1 Pt 0.000 0.500 0.500
Pt2 Pt 0.022 0.796 0.500
# DFT formation energy, eV per atom: -0.63
# Crystal system: tetragonal
# M_tot, μB per cell: 0.00

=====

Entry 3:
# RbMgAlGe2 (PBE, relaxed)
data_RbMgAlGe2
_chemical_formula_sum 'Rb2 Mg2 Al2 Ge4'
_space_group_name_H-M_alt 'I -4 m 2'
_space_group_IT_number 119
_space_group_name_Hall 'I -4 -2'
_cell_length_a 4.668
_cell_length_b 4.668
_cell_length_c 11.075
_cell_angle_alpha 90.00
_cell_angle_beta 90.00
_cell_angle_gamma 90.00
loop_
_atom_site_label
_atom_site_type_symbol
_atom_site_fract_x
_atom_site_fract_y
_atom_site_fract_z
Rb1 Rb 0.000 0.000 0.000
Mg1 Mg 0.000 0.500 0.750
Al1 Al 0.000 0.500 0.250
Ge1 Ge 0.000 0.000 0.381
# DFT formation energy, eV per atom: -0.11
# Crystal system: tetragonal
# M_tot, μB per cell: 0.00

=====

Entry 4:
# MgAlGe2S6 (PBE, relaxed)
data_MgAlGe2S6
_chemical_formula_sum 'Mg4 Al4 Ge8 S24'
_space_group_name_H-M_alt 'C 1 2/c 1'
_space_group_IT_number 15
_cell_length_a 12.774
_cell_length_b 11.885
_cell_length_c 6.584
_cell_angle_alpha 90.00
_cell_angle_beta 109.33
_cell_angle_gamma 90.00
loop_
_space_group_symop_operation_xyz
'x,y,z'
'-x,-y,-z'
'-x,y,-z+1/2'
'x,-y,z+1/2'
'x+1/2,y+1/2,z'
'-x+1/2,-y+1/2,-z'
'-x+1/2,y+1/2,-z+1/2'
'x+1/2,-y+1/2,z+1/2'
loop_
_atom_site_label
_atom_site_type_symbol
_atom_site_fract_x
_atom_site_fract_y
_atom_site_fract_z
Mg1 Mg 0.000 0.116 0.250
Al1 Al 0.000 0.188 0.750
Ge1 Ge 0.192 0.418 0.210
S1 S 0.110 0.067 0.636
S2 S 0.113 0.241 0.079
S3 S 0.128 0.430 0.494
# Crystal system: monoclinic
# Formation energy (no corrections), eV/f.u.: -5.61
# M_tot, μB per cell: 0.00

=====

Number 1: Fermi-level density of states 0.40 states/eV/atom, theoretical density 11.67 g/cm³. Number 2: Fermi-level density of states 0.29 states/eV/atom, theoretical density 11.99 g/cm³. Number 3: Fermi-level density of states 0.27 states/eV/atom, theoretical density 3.88 g/cm³. Number 4: Fermi-level density of states 0.42 states/eV/atom, theoretical density 2.74 g/cm³.